KPbWO6: optimized geometry, GGA+U.

Cell and atoms, written as CIF:
```
data_KPbWO6
_cell_length_a 5.6688
_cell_length_b 5.6688
_cell_length_c 11.5930
_cell_angle_alpha 90.00
_cell_angle_beta 90.00
_cell_angle_gamma 120.00
_symmetry_space_group_name_H-M 'P -3 1 c'
_symmetry_Int_Tables_number 163
_symmetry_space_group_name_Hall '-P 3 2c'
loop_
_atom_site_label
_atom_site_type_symbol
_atom_site_fract_x
_atom_site_fract_y
_atom_site_fract_z
_atom_site_occupancy
K1 K 0.0000 0.0000 0.0000 1
Pb1 Pb 0.3333 0.6667 0.2500 1
W1 W 0.3333 0.6667 0.7500 1
O1 O 0.0312 0.4129 0.6520 1
```

Output
Its uncorrected energy is -5.996 eV per atom. Its volume is 17.92 Å³ per atom. The value obtained for the density of states at the Fermi level is 12.08 states/eV/cell.